(1)
Density functional theory data (GGA-PBE) for a relaxed structure of AcHgRu.

DOS(E_F) = 3.5 states/eV/f.u.
E_tot = -4.45 eV/atom
Energy of formation = 0.1159 eV/atom

Cell lengths 5.3255, 5.3614, 6.1270 Å; angles 104.41, 104.09, 109.01 degrees
Closest atoms and distances in Å follow each position.
Sites, in units of the cell vectors:
Hg 0.0165 0.4869 0.7499  2 Ru 2.84, 2 Hg 3.07-3.08
Hg 0.9835 0.5131 0.2501  2 Ru 2.84, 2 Hg 3.07-3.08
Ac 0.3876 0.1131 0.7502  2 Ru 2.86-2.87
Ac 0.6124 0.8869 0.2498  2 Ru 2.86-2.87
Ru 0.5000 0.5000 0.5000  2 Hg 2.84, 2 Ac 2.87
Ru 0.0000 0.0000 0.0000  2 Hg 2.84, 2 Ac 2.86

(2)
Density functional theory data (GGA-PBE) for a relaxed structure of La8Dy3Er2.

DOS(E_F) = 21.4 states/eV/f.u.
E_tot = -4.65 eV/atom
Energy of formation = 0.1435 eV/atom
Relative energy among the computed polymorphs = 0 meV per atom

Cell lengths 6.1480, 11.8165, 9.0228 Å; angles 130.91, 73.09, 90.00 degrees
Closest atoms and distances in Å follow each position.
Sites, in units of the cell vectors:
La 0.8878 0.1391 0.2782  1 Er 3.39, 4 Dy 3.50-3.68, 2 La 3.50
La 0.3509 0.9233 0.3233  2 La 3.37-3.56, 1 Er 3.46, 3 Dy 3.47-3.77
La 0.6491 0.0767 0.6767  2 La 3.37-3.56, 1 Er 3.46, 3 Dy 3.47-3.77
La 0.3509 0.4000 0.3233  2 La 3.37-3.56, 1 Er 3.46, 3 Dy 3.47-3.77
La 0.1122 0.8609 0.7218  1 Er 3.39, 4 Dy 3.50-3.68, 2 La 3.50
La 0.7354 0.4145 0.8290  1 La 2.94
La 0.2646 0.5855 0.1710  1 La 2.94
La 0.6491 0.6000 0.6767  2 La 3.37-3.56, 1 Er 3.46, 3 Dy 3.47-3.77
Dy 0.0000 0.2739 0.0000  8 La 3.55-3.77, 2 Er 3.69
Dy 0.5000 0.0000 0.0000  8 La 3.47-3.57
Dy 0.0000 0.7261 0.0000  8 La 3.55-3.77, 2 Er 3.69
Er 0.6813 0.6865 0.3731  6 La 3.31-3.60, 2 Dy 3.69
Er 0.3187 0.3135 0.6269  6 La 3.31-3.60, 2 Dy 3.69

(3)
Density functional theory data (GGA-PBE) for a relaxed structure of SrZrBiCl2.

Uncorrected formation energy = -26.0 kcal/mol of atoms
DOS(E_F) = 2.5 states/eV/f.u.
E_tot = -4.69 eV/atom

Cell lengths 5.0429, 6.0256, 5.0429 Å; angles 90.00, 90.00, 90.00 degrees
Closest atoms and distances in Å follow each position.
Sites, in units of the cell vectors:
Cl 0.0000 0.0000 0.5000  2 Zr 2.52
Cl 0.5000 0.0000 0.0000  2 Zr 2.52
Sr 0.5000 0.5000 0.5000  4 Bi 3.57, 8 Cl 3.93
Zr 0.0000 0.0000 0.0000  4 Cl 2.52
Bi 0.0000 0.5000 0.0000  2 Zr 3.01

(4)
Density functional theory data (GGA-PBE) for a relaxed structure of Sr8Zn2Ag.

DOS(E_F) = 10.9 states/eV/f.u.
E_tot = -1.78 eV/atom
Energy of formation = -0.0679 eV/atom
Relative energy among the computed polymorphs = 11 meV per atom

Cell lengths 6.9598, 8.8185, 8.8185 Å; angles 112.19, 100.61, 100.61 degrees
Closest atoms and distances in Å follow each position.
Sites, in units of the cell vectors:
Ag 0.1867 0.0050 0.0050  8 Sr 3.40-3.70
Sr 0.3732 0.9257 0.6615  2 Zn 3.28-3.29, 1 Ag 3.40
Sr 0.1749 0.3635 0.3635  2 Zn 3.50, 1 Ag 3.55
Sr 0.7975 0.6424 0.6424  2 Zn 3.49, 1 Ag 3.70
Sr 0.3732 0.6615 0.9257  2 Zn 3.28-3.29, 1 Ag 3.40
Sr 0.5799 0.0806 0.3429  2 Zn 3.26-3.27, 1 Ag 3.41
Sr 0.5799 0.3429 0.0806  2 Zn 3.26-3.27, 1 Ag 3.41
Sr 0.9800 0.7898 0.2117  1 Ag 3.40, 1 Zn 3.75
Sr 0.9800 0.2117 0.7898  1 Ag 3.40, 1 Zn 3.75
Zn 0.4872 0.3169 0.6939  6 Sr 3.26-3.50
Zn 0.4872 0.6939 0.3169  6 Sr 3.26-3.50

(5)
Density functional theory data (GGA-PBE) for a relaxed structure of YZnO2.

Uncorrected formation energy = -52.2 kcal/mol of atoms
DOS(E_F) = 1.1 states/eV/f.u.
E_tot = -6.68 eV/atom

Cell lengths 6.4673, 6.4673, 6.4673 Å; angles 31.14, 31.14, 31.14 degrees
Closest atoms and distances in Å follow each position.
Sites, in units of the cell vectors:
Y 0.5000 0.5000 0.5000  6 O 2.28
O 0.8925 0.8925 0.8925  1 Zn 1.98
O 0.1075 0.1075 0.1075  1 Zn 1.98
Zn 0.0000 0.0000 0.0000  2 O 1.98

(6)
Density functional theory data (GGA-PBE) for a relaxed structure of Mn5Ru.

DOS(E_F) = 8.9 states/eV/f.u.
E_tot = -8.84 eV/atom
Energy of formation = 0.3445 eV/atom
Relative energy among the computed polymorphs = 330 meV per atom

Cell lengths 4.5718, 4.5718, 3.9646 Å; angles 90.00, 90.00, 120.00 degrees
Closest atoms and distances in Å follow each position.
Sites, in units of the cell vectors:
Mn 0.3333 0.6667 0.0000  9 Mn 2.38-2.64, 3 Ru 2.64
Mn 0.5000 0.0000 0.5000  8 Mn 2.29-2.38
Mn 0.6667 0.3333 0.0000  9 Mn 2.38-2.64, 3 Ru 2.64
Mn 0.0000 0.5000 0.5000  8 Mn 2.29-2.38
Mn 0.5000 0.5000 0.5000  8 Mn 2.29-2.38
Ru 0.0000 0.0000 0.0000  6 Mn 2.64

(7)
Density functional theory data (GGA-PBE) for a relaxed structure of DyErPb.

DOS(E_F) = 1.9 states/eV/f.u.
E_tot = -4.70 eV/atom
Energy of formation = -0.4139 eV/atom
Relative energy among the computed polymorphs = 0 meV per atom

Cell lengths 4.5683, 4.5330, 8.5208 Å; angles 90.03, 90.01, 90.00 degrees
Closest atoms and distances in Å follow each position.
Sites, in units of the cell vectors:
Pb 0.5142 0.4457 0.3842  5 Dy 3.20-3.26, 4 Er 3.31-3.32
Pb 0.0148 0.9467 0.9514  5 Dy 3.20-3.26, 4 Er 3.31-3.32
Er 0.0146 0.4462 0.6675  4 Er 3.22, 4 Pb 3.31-3.32
Er 0.5145 0.9463 0.6681  4 Er 3.22, 4 Pb 3.31-3.32
Dy 0.0142 0.9457 0.3268  5 Pb 3.20-3.26
Dy 0.5148 0.4467 0.0088  5 Pb 3.20-3.26

(8)
Density functional theory data (GGA-PBE) for a relaxed structure of Hg12S3I5.

Uncorrected formation energy = 2.1 kcal/mol of atoms
DOS(E_F) = 7.8 states/eV/f.u.
E_tot = -1.10 eV/atom

Cell lengths 15.9015, 15.9015, 15.9015 Å; angles 109.47, 109.47, 109.47 degrees
Closest atoms and distances in Å follow each position.
Sites, in units of the cell vectors:
I 0.8750 0.6250 0.7500  4 Hg 3.21
I 0.5000 0.0000 0.0000  6 Hg 3.25
I 0.5000 0.0000 0.5000  6 Hg 3.25
I 0.5000 0.5000 0.0000  6 Hg 3.25
I 0.3750 0.2500 0.1250  4 Hg 3.21
I 0.0000 0.0000 0.0000  6 Hg 3.25
I 0.0000 0.5000 0.0000  6 Hg 3.25
I 0.2500 0.8750 0.1250  4 Hg 3.21
I 0.1250 0.3750 0.2500  4 Hg 3.21
I 0.0000 0.5000 0.5000  6 Hg 3.25
I 0.7500 0.1250 0.8750  4 Hg 3.21
I 0.6250 0.8750 0.2500  4 Hg 3.21
I 0.2500 0.3750 0.6250  4 Hg 3.21
I 0.1250 0.7500 0.3750  4 Hg 3.21
I 0.7500 0.6250 0.3750  4 Hg 3.21
I 0.3750 0.1250 0.7500  4 Hg 3.21
I 0.6250 0.7500 0.8750  4 Hg 3.21
I 0.5000 0.5000 0.5000  6 Hg 3.25
I 0.8750 0.2500 0.6250  4 Hg 3.21
I 0.0000 0.0000 0.5000  6 Hg 3.25
Hg 0.6482 0.2224 0.5365  1 S 2.67
Hg 0.5742 0.2224 0.1859  1 S 2.67
Hg 0.1117 0.1482 0.4258  1 S 2.67
Hg 0.5365 0.7224 0.6482  1 S 2.67
Hg 0.4635 0.1859 0.6117  1 S 2.67
Hg 0.7776 0.3518 0.9635  1 S 2.67
Hg 0.3883 0.3141 0.5365  1 S 2.67
Hg 0.1117 0.9635 0.1859  1 S 2.67
Hg 0.3883 0.0742 0.3518  1 S 2.67
Hg 0.2776 0.8141 0.9258  1 S 2.67
Hg 0.6117 0.9258 0.6482  1 S 2.67
Hg 0.3518 0.5742 0.3883  1 S 2.67
Hg 0.1482 0.0365 0.7224  1 S 2.67
Hg 0.7224 0.1859 0.0742  1 S 2.67
Hg 0.9258 0.3141 0.2776  1 S 2.67
Hg 0.8883 0.0365 0.8141  1 S 2.67
Hg 0.6482 0.4258 0.6117  1 S 2.67
Hg 0.6117 0.6859 0.4635  1 S 2.67
Hg 0.2224 0.6482 0.0365  1 S 2.67
Hg 0.3141 0.9258 0.7776  1 S 2.67
Hg 0.6859 0.6117 0.9635  1 S 2.67
Hg 0.7776 0.4258 0.3141  1 S 2.67
Hg 0.0365 0.1482 0.2224  1 S 2.67
Hg 0.9635 0.1117 0.6859  1 S 2.67
Hg 0.8518 0.8883 0.0742  1 S 2.67
Hg 0.1859 0.7224 0.5742  1 S 2.67
Hg 0.8518 0.9635 0.2776  1 S 2.67
Hg 0.3141 0.3883 0.0365  1 S 2.67
Hg 0.4258 0.6482 0.1117  1 S 2.67
Hg 0.9635 0.8518 0.7776  1 S 2.67
Hg 0.8141 0.5365 0.8883  1 S 2.67
Hg 0.0742 0.6859 0.7224  1 S 2.67
Hg 0.6859 0.0742 0.2224  1 S 2.67
Hg 0.9258 0.6117 0.1482  1 S 2.67
Hg 0.8141 0.2776 0.4258  1 S 2.67
Hg 0.8883 0.8518 0.5742  1 S 2.67
Hg 0.1482 0.1117 0.9258  1 S 2.67
Hg 0.0742 0.3883 0.8518  1 S 2.67
Hg 0.2224 0.5742 0.6859  1 S 2.67
Hg 0.2776 0.4635 0.8518  1 S 2.67
Hg 0.4258 0.7776 0.8141  1 S 2.67
Hg 0.5742 0.3518 0.8883  1 S 2.67
Hg 0.4635 0.2776 0.3518  1 S 2.67
Hg 0.0365 0.8883 0.3141  1 S 2.67
Hg 0.3518 0.7776 0.4635  1 S 2.67
Hg 0.7224 0.5365 0.1482  1 S 2.67
Hg 0.5365 0.8141 0.3883  1 S 2.67
Hg 0.1859 0.4635 0.1117  1 S 2.67
S 0.2500 0.1250 0.3750  4 Hg 2.67
S 0.3750 0.6250 0.2500  4 Hg 2.67
S 0.7500 0.8750 0.6250  4 Hg 2.67
S 0.8750 0.7500 0.1250  4 Hg 2.67
S 0.8750 0.1250 0.2500  4 Hg 2.67
S 0.6250 0.3750 0.7500  4 Hg 2.67
S 0.1250 0.2500 0.8750  4 Hg 2.67
S 0.6250 0.2500 0.3750  4 Hg 2.67
S 0.7500 0.3750 0.1250  4 Hg 2.67
S 0.1250 0.8750 0.7500  4 Hg 2.67
S 0.2500 0.6250 0.8750  4 Hg 2.67
S 0.3750 0.7500 0.6250  4 Hg 2.67

(9)
Density functional theory data (GGA-PBE) for a relaxed structure of Ag5Pd4.

DOS(E_F) = 2.1 states/eV/f.u.
E_tot = -3.93 eV/atom
Energy of formation = -0.0413 eV/atom
Relative energy among the computed polymorphs = 0 meV per atom

Cell lengths 4.0867, 4.9492, 8.5495 Å; angles 106.02, 90.00, 114.38 degrees
Closest atoms and distances in Å follow each position.
Sites, in units of the cell vectors:
Pd 0.6672 0.3343 0.3887  3 Pd 2.84-2.88, 9 Ag 2.85-2.90
Pd 0.3328 0.6657 0.6113  3 Pd 2.84-2.88, 9 Ag 2.85-2.90
Pd 0.3328 0.6657 0.9441  4 Pd 2.84-2.87, 8 Ag 2.85-2.87
Pd 0.6672 0.3343 0.0559  4 Pd 2.84-2.87, 8 Ag 2.85-2.87
Ag 0.3309 0.6619 0.2771  7 Pd 2.85-2.89, 5 Ag 2.85-2.89
Ag 0.0000 0.0000 0.5000  6 Pd 2.86-2.87, 6 Ag 2.86-2.89
Ag 0.6691 0.3381 0.7229  7 Pd 2.85-2.89, 5 Ag 2.85-2.89
Ag 0.0013 0.0026 0.8355  5 Ag 2.82-2.88, 7 Pd 2.85-2.90
Ag 0.9987 0.9974 0.1645  5 Ag 2.82-2.88, 7 Pd 2.85-2.90

(10)
Density functional theory data (GGA-PBE) for a relaxed structure of Na6ZnSn2.

DOS(E_F) = 1.1 states/eV/f.u.
E_tot = -2.07 eV/atom
Energy of formation = -0.1635 eV/atom
Relative energy among the computed polymorphs = 0 meV per atom

Cell lengths 5.7570, 5.7570, 9.3416 Å; angles 82.70, 82.70, 56.94 degrees
Closest atoms and distances in Å follow each position.
Sites, in units of the cell vectors:
Na 0.2990 0.2990 0.0632  3 Zn 3.17-3.42, 5 Na 3.20-3.44, 3 Sn 3.34-3.50
Na 0.8279 0.8279 0.5948  3 Sn 3.18-3.48, 3 Na 3.27-3.40
Na 0.5253 0.5253 0.2809  3 Sn 3.27-3.30, 5 Na 3.28-3.60
Na 0.7010 0.7010 0.9368  3 Zn 3.17-3.42, 5 Na 3.20-3.44, 3 Sn 3.34-3.50
Na 0.4747 0.4747 0.7191  3 Sn 3.27-3.30, 5 Na 3.28-3.60
Na 0.1721 0.1721 0.4052  3 Sn 3.18-3.48, 3 Na 3.27-3.40
Sn 0.1492 0.1492 0.7481  1 Zn 2.61
Sn 0.8508 0.8508 0.2519  1 Zn 2.61
Zn 0.0000 0.0000 0.0000  2 Sn 2.61